Density functional theory data (GGA-PBE) for a relaxed structure of CaIn3Ag.

Cell: 9.436 4.506 12.047 Å, 90.00 90.00 90.00°
Atoms (fractional coordinates):
Ca: 0.189 0.250 0.001
Ca: 0.311 0.750 0.501
Ca: 0.689 0.250 0.499
Ca: 0.811 0.750 0.999
In: 0.071 0.250 0.403
In: 0.098 0.750 0.198
In: 0.135 0.750 0.798
In: 0.365 0.250 0.298
In: 0.402 0.250 0.698
In: 0.429 0.750 0.903
In: 0.571 0.250 0.097
In: 0.598 0.750 0.302
In: 0.635 0.750 0.702
In: 0.865 0.250 0.202
In: 0.902 0.250 0.802
In: 0.929 0.750 0.597
Ag: 0.118 0.250 0.635
Ag: 0.382 0.750 0.135
Ag: 0.618 0.250 0.865
Ag: 0.882 0.750 0.365

Values from the calculation:
* space-group type: Pnma
* D(E_F): 0.481 states/eV per atom
* raw total energy: -0.1049 Ha/atom
* M_tot: 0.00 Bohr magnetons per cell
* E_form: -241 meV/atom